PrCrSeO2: optimized geometry, PBE+U.

The space group is Cmcm (No. 63) and the conventional cell measures 5.452, 12.250 and 5.407 Å, with angles of 90.00, 90.00 and 90.00 degrees. The asymmetric unit holds Pr at (0.000, 0.119, 0.250), Cr at (0.000, 0.454, 0.250), Se at (0.000, 0.248, 0.750) and O at (0.241, 0.500, 0.000).

Its total energy is -35.5 eV/f.u.